Compound: Rb2PtF4
Source: Alexandria
Functional: PBE
Structure: optimized geometry

Summary:
Its distance to the lowest polymorph of the same formula is 166 meV/atom. The density is 5.2 g/cm3. The value obtained for the total magnetization is 0.00 μB per formula unit.

Cell lengths 4.573, 4.573, 13.414 Å; angles 90.00, 90.00, 90.00 degrees
Space group I4/mmm (No. 139)
Unique sites:
Rb: 0.000 0.000 0.138 [4 per cell]
Pt: 0.000 0.000 0.500 [2 per cell]
F: 0.000 0.000 0.345 [4 per cell]
F: 0.000 0.500 0.000 [4 per cell]

=====

Compound: Pr4GePt
Source: Alexandria
Functional: PBE
Structure: optimized geometry

Summary:
The density is 7.7 g/cm3. Its total energy is -5.5713 eV per atom. The value obtained for the total magnetization is 0.00 μB per formula unit.

Cell lengths 9.226, 13.933, 6.533 Å; angles 90.00, 121.46, 90.00 degrees
Space group C2/c (No. 15)
Unique sites:
Pr: 0.121 0.186 0.086 [8 per cell]
Pr: 0.206 0.436 0.292 [8 per cell]
Ge: 0.000 0.371 0.750 [4 per cell]
Pt: 0.000 0.001 0.250 [4 per cell]

=====

Compound: LiMo3W
Source: Alexandria
Functional: PBE
Structure: optimized geometry

Summary:
Its distance to the lowest polymorph of the same formula is 402 meV/atom. The density is 7.2 g/cm3. The value obtained for the total magnetization is 0.00 μB per formula unit.

Cell lengths 4.796, 4.796, 4.796 Å; angles 90.00, 90.00, 90.00 degrees
Space group Pm-3m (No. 221)
Unique sites:
Li: 0.000 0.000 0.000 [1 per cell]
Mo: 0.000 0.500 0.500 [3 per cell]
W: 0.500 0.500 0.500 [1 per cell]

=====

Compound: KCaAgPd2
Source: Alexandria
Functional: PBE
Structure: optimized geometry

Summary:
The density is 4.7 g/cm3. Its total energy is -2.5464 eV per atom. The value obtained for the total magnetization is 0.00 μB per formula unit.

Cell lengths 5.150, 5.150, 5.371 Å; angles 90.00, 90.00, 90.00 degrees
Space group P4/mmm (No. 123)
Unique sites:
K: 0.000 0.000 0.000 [1 per cell]
Ca: 0.500 0.500 0.500 [1 per cell]
Ag: 0.000 0.000 0.500 [1 per cell]
Pd: 0.000 0.500 0.000 [2 per cell]

=====

Compound: Nb3V8Sb
Source: Alexandria
Functional: PBE
Structure: optimized geometry

Summary:
The density is 7.3 g/cm3. Its total energy is -8.9794 eV per atom. The value obtained for the total magnetization is 0.00 μB per formula unit.

Cell lengths 5.0632, 5.0632, 8.2922 Å; angles 90.00, 90.00, 120.00 degrees
Space group P3m1 (No. 156)
Unique sites:
Nb: 0.0000 0.0000 0.0000 [1 per cell]
Nb: 0.0000 0.0000 0.3711 [1 per cell]
Nb: 0.3333 0.6667 0.8789 [1 per cell]
V: 0.0038 0.5019 0.1846 [3 per cell]
V: 0.3279 0.1639 0.6908 [3 per cell]
V: 0.6667 0.3333 0.4334 [1 per cell]
V: 0.6667 0.3333 0.9359 [1 per cell]
Sb: 0.3333 0.6667 0.5030 [1 per cell]

=====

Compound: Ce2DyPa
Source: Alexandria
Functional: PBE
Structure: optimized geometry

Summary:
Its distance to the lowest polymorph of the same formula is 273 meV/atom. The density is 10.2 g/cm3. The value obtained for the total magnetization is 0.15 μB per formula unit.

Cell lengths 7.608, 7.608, 7.608 Å; angles 90.00, 90.00, 90.00 degrees
Space group Fm-3m (No. 225)
Unique sites:
Ce: 0.250 0.250 0.250 [8 per cell]
Dy: 0.000 0.000 0.000 [4 per cell]
Pa: 0.000 0.000 0.500 [4 per cell]

=====

Compound: Cu6Pt2Au
Source: Alexandria
Functional: PBE
Structure: optimized geometry

Summary:
Its distance to the lowest polymorph of the same formula is 0 meV/atom. The density is 12.4 g/cm3. The value obtained for the total magnetization is 0.00 μB per formula unit.

Cell lengths 9.154, 7.280, 4.409 Å; angles 90.00, 118.41, 90.00 degrees
Space group C2/m (No. 12)
Unique sites:
Cu: 0.000 0.193 0.000 [4 per cell]
Cu: 0.172 0.316 0.672 [8 per cell]
Pt: 0.165 0.500 0.165 [4 per cell]
Au: 0.000 0.000 0.500 [2 per cell]

=====

Compound: Tm3Zn9Si2
Source: Alexandria
Functional: PBE
Structure: optimized geometry

Summary:
The density is 7.9 g/cm3. Its total energy is -2.8671 eV per atom. The value obtained for the total magnetization is 0.00 μB per formula unit.

Cell lengths 4.224, 9.631, 11.969 Å; angles 90.00, 90.00, 90.00 degrees
Space group Immm (No. 71)
Unique sites:
Tm: 0.000 0.000 0.000 [2 per cell]
Tm: 0.000 0.000 0.310 [4 per cell]
Zn: 0.000 0.274 0.140 [8 per cell]
Zn: 0.000 0.372 0.341 [8 per cell]
Zn: 0.000 0.500 0.000 [2 per cell]
Si: 0.000 0.205 0.500 [4 per cell]

=====

Compound: BiMo2Ru2
Source: Alexandria
Functional: PBE
Structure: optimized geometry

Summary:
Its distance to the lowest polymorph of the same formula is 47 meV/atom. The density is 10.4 g/cm3. The value obtained for the total magnetization is 0.00 μB per formula unit.

Cell lengths 4.231, 4.231, 10.733 Å; angles 90.00, 90.00, 90.00 degrees
Space group I4/mmm (No. 139)
Unique sites:
Bi: 0.000 0.000 0.000 [2 per cell]
Mo: 0.000 0.500 0.250 [4 per cell]
Ru: 0.000 0.000 0.379 [4 per cell]

=====

Compound: LiTcP2
Source: Alexandria
Functional: PBE
Structure: optimized geometry

Summary:
Its distance to the lowest polymorph of the same formula is 366 meV/atom. The density is 4.8 g/cm3. The value obtained for the total magnetization is 0.00 μB per formula unit.

Cell lengths 3.095, 4.838, 7.747 Å; angles 90.00, 90.00, 90.00 degrees
Space group Cmmm (No. 65)
Unique sites:
Li: 0.000 0.000 0.000 [2 per cell]
Tc: 0.000 0.000 0.500 [2 per cell]
P: 0.000 0.500 0.262 [4 per cell]

=====

Compound: B3IrPd
Source: Alexandria
Functional: PBE
Structure: optimized geometry

Summary:
Its distance to the lowest polymorph of the same formula is 0 meV/atom. The density is 8.2 g/cm3. The value obtained for the total magnetization is 0.00 μB per formula unit.

Cell lengths 4.070, 4.070, 4.070 Å; angles 90.00, 90.00, 90.00 degrees
Space group Pm-3m (No. 221)
Unique sites:
B: 0.000 0.000 0.500 [3 per cell]
Ir: 0.000 0.000 0.000 [1 per cell]
Pd: 0.500 0.500 0.500 [1 per cell]

=====

Compound: TbGdTlPt
Source: Alexandria
Functional: PBE
Structure: optimized geometry

Summary:
The density is 12.0 g/cm3. Its total energy is -7.4582 eV per atom. The value obtained for the total magnetization is 7.11 μB per formula unit.

Cell lengths 7.335, 7.335, 7.335 Å; angles 90.00, 90.00, 90.00 degrees
Space group F-43m (No. 216)
Unique sites:
Tb: 0.000 0.000 0.000 [4 per cell]
Gd: 0.000 0.000 0.500 [4 per cell]
Tl: 0.250 0.250 0.750 [4 per cell]
Pt: 0.250 0.250 0.250 [4 per cell]